# 1
This record from the Alexandria database describes K2BaFe at its PBEsol-relaxed geometry. The functional is SCAN.

Values from the calculation:
The formation enthalpy at 0 K comes out at 0.77 eV/atom. The polymorph energy (0 for the lowest one) comes out at 0.878 eV/f.u. As for the symmetry: No. 47.

Lattice parameters (Å, degrees): 4.1186 5.7946 7.1847 90.00 90.00 90.00
With the nearest neighbours (Å) after each atom.
Sites, in units of the cell vectors:
Ba 0.5000 0.5000 0.0000  2 Fe 3.59
Fe 0.5000 0.5000 0.5000  2 Ba 3.59, 8 K 3.88
K 0.0000 0.0000 0.7166  1 K 3.11
K 0.0000 0.0000 0.2834  1 K 3.11

# 2
This record from the Alexandria database describes TlRuSe2N at its PBEsol-relaxed geometry. The functional is SCAN.

Values from the calculation:
Its uncorrected formation energy is 1.74 eV/atom. As for the symmetry: No. 123.

Lattice parameters (Å, degrees): 4.0572 5.3096 5.3096 90.00 90.00 90.00
With the nearest neighbours (Å) after each atom.
Sites, in units of the cell vectors:
Ru 0.5000 0.5000 0.5000  8 Se 3.34
Tl 0.0000 0.0000 0.0000  2 N 2.03
Se 0.0000 0.0000 0.5000  2 Tl 2.65
Se 0.0000 0.5000 0.0000  2 Tl 2.65
N 0.5000 0.0000 0.0000  2 Tl 2.03

# 3
This record from the Alexandria database describes B3ClO at its PBEsol-relaxed geometry. The functional is SCAN.

Values from the calculation:
Its uncorrected formation energy is 2.24 eV/atom. As for the symmetry: No. 221.

Lattice parameters (Å, degrees): 3.8611 3.8611 3.8611 90.00 90.00 90.00
With the nearest neighbours (Å) after each atom.
Sites, in units of the cell vectors:
B 0.0000 0.5000 0.0000  2 O 1.93
B 0.0000 0.0000 0.5000  2 O 1.93
B 0.5000 0.0000 0.0000  2 O 1.93
O 0.0000 0.0000 0.0000  6 B 1.93
Cl 0.5000 0.5000 0.5000  12 B 2.73

# 4
This record from the Alexandria database describes ZrSc2Cr at its PBEsol-relaxed geometry. The functional is SCAN.

Values from the calculation:
The formation enthalpy at 0 K comes out at 0.11 eV/atom. The polymorph energy (0 for the lowest one) comes out at 0.086 eV/f.u. As for the symmetry: No. 216.

Lattice parameters (Å, degrees): 4.7955 4.7955 4.7955 60.00 60.00 60.00
With the nearest neighbours (Å) after each atom.
Sites, in units of the cell vectors:
Cr 0.5000 0.5000 0.5000  4 Sc 2.94, 4 Zr 2.94
Sc 0.0000 0.0000 0.0000  4 Zr 2.94, 4 Sc 2.94
Sc 0.7500 0.7500 0.7500  4 Cr 2.94, 4 Sc 2.94
Zr 0.2500 0.2500 0.2500  4 Cr 2.94, 4 Sc 2.94

# 5
This record from the Alexandria database describes P2RhF at its PBEsol-relaxed geometry. The functional is SCAN.

Values from the calculation:
Its uncorrected formation energy is -0.26 eV/atom. As for the symmetry: No. 122.

Lattice parameters (Å, degrees): 5.0259 5.0259 6.6611 112.16 112.16 90.00
With the nearest neighbours (Å) after each atom.
Sites, in units of the cell vectors:
P 0.3487 0.8750 0.2500  2 Rh 2.20, 2 F 2.34
P 0.9013 0.3750 0.2500  2 Rh 2.20, 2 F 2.34
P 0.1250 0.0987 0.7500  2 Rh 2.20, 2 F 2.34
P 0.6250 0.6513 0.7500  2 Rh 2.20, 2 F 2.34
Rh 0.2500 0.7500 0.5000  4 P 2.20
Rh 0.0000 0.0000 0.0000  4 P 2.20
F 0.7500 0.2500 0.5000  4 P 2.34
F 0.5000 0.5000 0.0000  4 P 2.34

# 6
This record from the Alexandria database describes Ru2PbSe at its PBEsol-relaxed geometry. The functional is SCAN.

Values from the calculation:
Its uncorrected formation energy is 0.44 eV/atom. The polymorph energy (0 for the lowest one) comes out at 0.688 eV/f.u. As for the symmetry: No. 166.

Lattice parameters (Å, degrees): 3.1013 3.1013 8.2218 79.13 79.13 60.00
With the nearest neighbours (Å) after each atom.
Sites, in units of the cell vectors:
Pb 0.0000 0.0000 0.0000  6 Ru 2.86, 6 Pb 3.10
Ru 0.2406 0.2406 0.2781  3 Se 2.52
Ru 0.7594 0.7594 0.7219  3 Se 2.52
Se 0.5000 0.5000 0.5000  6 Ru 2.52